Entry 1:
First-principles (PBE) data for La2NiCl4 after structural relaxation, as listed in Alexandria.

abc: 4.481 4.481 8.750
angles: 75.16 75.16 90.00
Atoms (fractional coordinates):
Ni 0.000 0.000 0.000
Cl 0.802 0.802 0.395
Cl 0.198 0.198 0.605
Cl 0.000 0.500 0.000
Cl 0.500 0.000 0.000
La 0.618 0.618 0.764
La 0.382 0.382 0.236

- ΔE_f (raw): -1.241 eV per atom
- Density of states at the Fermi level: 0.599 states/eV per atom
- Symmetry: No. 139

---

Entry 2:
First-principles (PBE) data for LaNi2Cl after structural relaxation, as listed in Alexandria.

abc: 3.568 3.567 7.266
angles: 91.48 90.00 90.00
Atoms (fractional coordinates):
Cl 0.000 0.359 0.565
La 0.500 0.871 0.788
Ni 0.000 0.885 0.073
Ni 0.500 0.385 0.073

- ΔE_f (raw): -0.493 eV per atom
- Energy relative to the lowest polymorph listed for this composition: 96 meV per atom
- Density of states at the Fermi level: 0.533 states/eV per atom
- Symmetry: No. 6

---

Entry 3:
First-principles (PBE) data for La7NiCl12 after structural relaxation, as listed in Alexandria.

abc: 9.973 9.332 9.332
angles: 108.04 110.87 110.87
Atoms (fractional coordinates):
La 0.129 0.800 0.097
La 0.967 0.097 0.297
La 0.671 0.703 0.800
La 0.500 0.000 0.000
La 0.329 0.297 0.200
La 0.033 0.903 0.703
La 0.871 0.200 0.903
Ni 0.000 0.000 0.000
Cl 0.205 0.517 0.128
Cl 0.922 0.128 0.610
Cl 0.614 0.784 0.098
Cl 0.484 0.098 0.314
Cl 0.312 0.390 0.517
Cl 0.170 0.686 0.784
Cl 0.830 0.314 0.216
Cl 0.688 0.610 0.483
Cl 0.516 0.902 0.686
Cl 0.386 0.216 0.902
Cl 0.078 0.872 0.390
Cl 0.795 0.483 0.872

- ΔE_f (raw): -1.953 eV per atom
- Density of states at the Fermi level: 0.509 states/eV per atom
- Symmetry: No. 148

---

Entry 4:
First-principles (PBE) data for LaNi4Cl after structural relaxation, as listed in Alexandria.

abc: 5.089 5.089 5.089
angles: 60.00 60.00 60.00
Atoms (fractional coordinates):
La 0.000 0.000 0.000
Ni 0.875 0.375 0.375
Ni 0.375 0.375 0.875
Ni 0.375 0.875 0.375
Ni 0.375 0.375 0.375
Cl 0.750 0.750 0.750

- ΔE_f (raw): -0.158 eV per atom
- Density of states at the Fermi level: 2.122 states/eV per atom
- Symmetry: No. 216

---

Entry 5:
First-principles (PBE) data for LaNi2Cl after structural relaxation, as listed in Alexandria.

abc: 5.283 5.283 5.283
angles: 47.86 47.86 47.86
Atoms (fractional coordinates):
Cl 0.250 0.250 0.250
La 0.750 0.750 0.750
Ni 0.950 0.950 0.950
Ni 0.550 0.550 0.550

- ΔE_f (raw): -0.054 eV per atom
- Energy relative to the lowest polymorph listed for this composition: 536 meV per atom
- Density of states at the Fermi level: 1.002 states/eV per atom
- Symmetry: No. 166

---

Entry 6:
First-principles (PBE) data for LaNi2Cl after structural relaxation, as listed in Alexandria.

abc: 4.020 4.020 6.565
angles: 89.45 89.45 60.01
Atoms (fractional coordinates):
Cl 0.621 0.621 0.481
La 0.291 0.291 0.194
Ni 0.961 0.961 0.922
Ni 0.627 0.627 0.903

- ΔE_f (raw): -0.589 eV per atom
- Energy relative to the lowest polymorph listed for this composition: 0 meV per atom
- Density of states at the Fermi level: 0.145 states/eV per atom
- Symmetry: No. 8

---

Entry 7:
First-principles (PBE) data for LaNi2Cl after structural relaxation, as listed in Alexandria.

abc: 3.905 3.905 5.064
angles: 90.00 90.00 90.00
Atoms (fractional coordinates):
Cl 0.500 0.000 0.500
La 0.000 0.500 0.500
Ni 0.000 0.000 0.000
Ni 0.500 0.500 0.000

- ΔE_f (raw): -0.234 eV per atom
- Energy relative to the lowest polymorph listed for this composition: 355 meV per atom
- Density of states at the Fermi level: 1.212 states/eV per atom
- Symmetry: No. 123

---

Entry 8:
First-principles (PBE) data for LaNi2Cl after structural relaxation, as listed in Alexandria.

abc: 7.405 7.405 5.910
angles: 51.21 51.21 90.00
Atoms (fractional coordinates):
Ni 0.588 0.125 0.250
Ni 0.162 0.625 0.250
Ni 0.375 0.412 0.750
Ni 0.875 0.838 0.750
Cl 0.500 0.500 0.000
Cl 0.250 0.750 0.500
La 0.000 0.000 0.000
La 0.750 0.250 0.500

- ΔE_f (raw): -0.160 eV per atom
- Energy relative to the lowest polymorph listed for this composition: 429 meV per atom
- Density of states at the Fermi level: 0.468 states/eV per atom
- Symmetry: No. 122

---

Entry 9:
First-principles (PBE) data for LaNi2Cl after structural relaxation, as listed in Alexandria.

abc: 5.737 5.737 5.737
angles: 140.07 140.07 57.74
Atoms (fractional coordinates):
Cl 0.250 0.750 0.500
La 0.750 0.250 0.500
Ni 0.000 0.000 0.000
Ni 0.500 0.500 0.000

- ΔE_f (raw): -0.248 eV per atom
- Energy relative to the lowest polymorph listed for this composition: 341 meV per atom
- Density of states at the Fermi level: 1.045 states/eV per atom
- Symmetry: No. 139

---

Entry 10:
First-principles (PBE) data for LaNi2Cl after structural relaxation, as listed in Alexandria.

abc: 7.558 7.558 7.558
angles: 30.81 30.81 30.81
Atoms (fractional coordinates):
Cl 0.482 0.482 0.482
La 0.730 0.730 0.730
Ni 0.979 0.979 0.979
Ni 0.310 0.310 0.310

- ΔE_f (raw): -0.583 eV per atom
- Energy relative to the lowest polymorph listed for this composition: 6 meV per atom
- Density of states at the Fermi level: 0.911 states/eV per atom
- Symmetry: No. 160

---

Entry 11:
First-principles (PBE) data for LaNiCl4 after structural relaxation, as listed in Alexandria.

abc: 5.822 5.822 5.822
angles: 60.00 60.00 60.00
Atoms (fractional coordinates):
La 0.750 0.750 0.750
Ni 0.000 0.000 0.000
Cl 0.875 0.375 0.375
Cl 0.375 0.375 0.875
Cl 0.375 0.875 0.375
Cl 0.375 0.375 0.375

- ΔE_f (raw): -0.122 eV per atom
- Density of states at the Fermi level: 1.821 states/eV per atom
- Symmetry: No. 216

---

Entry 12:
First-principles (PBE) data for LaNi2Cl after structural relaxation, as listed in Alexandria.

abc: 4.716 4.716 4.716
angles: 60.00 60.00 60.00
Atoms (fractional coordinates):
Ni 0.250 0.250 0.250
Ni 0.750 0.750 0.750
Cl 0.000 0.000 0.000
La 0.500 0.500 0.500

- ΔE_f (raw): 0.129 eV per atom
- Energy relative to the lowest polymorph listed for this composition: 719 meV per atom
- Density of states at the Fermi level: 2.175 states/eV per atom
- Symmetry: No. 225